Record 1
Here is crystalline Sr2CuB2O6 at its relaxed geometry from Alexandria. Energies are from PBE.

Structure (POSCAR):
```
Sr2CuB2O6
1.0
5.874 0.000 0.000
0.000 8.837 0.000
-2.821 0.000 5.435
Sr Cu B O
4 2 4 12
Cartesian
0.024 0.933 1.835 Sr
-1.387 3.486 4.553 Sr
4.439 5.351 0.882 Sr
3.029 7.905 3.599 Sr
2.937 0.000 0.000 Cu
1.526 4.419 2.717 Cu
-0.077 6.623 3.584 B
1.334 6.633 0.867 B
1.719 2.204 4.568 B
3.130 2.214 1.851 B
-1.181 5.852 3.338 O
0.229 7.404 0.621 O
1.189 5.233 0.978 O
-0.222 8.023 3.696 O
0.432 1.686 4.437 O
1.842 2.732 1.720 O
1.210 6.105 3.715 O
2.621 7.151 0.997 O
3.274 0.814 1.739 O
1.864 3.605 4.456 O
2.823 1.434 4.814 O
4.234 2.985 2.097 O
```

Output
Calculated volume (Å³ per atom): 12.82
Excess energy over the best structure of this formula in the dataset (meV/atom): 0.0
Theoretical density (kg/m³): 4196
Symmetry: No. 14
ΔE_f (raw) (kJ/mol of formula units): -2546.8



Record 2
Here is crystalline MgTaHg2 at its relaxed geometry from Alexandria. Energies are from PBE.

Structure (POSCAR):
```
MgTaHg2
1.0
4.241 0.000 0.000
0.000 4.248 0.000
0.000 0.000 9.135
Mg Ta Hg
2 2 4
Cartesian
0.000 0.000 0.000 Mg
2.120 2.124 0.000 Mg
0.000 2.124 2.137 Ta
2.120 0.000 2.137 Ta
0.000 0.000 4.316 Hg
0.000 2.124 6.884 Hg
2.120 0.000 6.884 Hg
2.120 2.124 4.316 Hg
```

Output
Calculated volume (Å³ per atom): 20.57
Theoretical density (kg/m³): 12237
Symmetry: No. 35
ΔE_f (meV/atom): 217